An optimized crystal structure of Ce2ZnCoAu, computed with PBE-GGA.

Output
**Calculated formation energy**: -0.43 eV per atom
**Total DFT energy (no corrections)**: -5.135 eV per atom
**Symmetry**: P2_1/m (11)
**Total magnetization**: 0.69 μB/f.u.

Cell: 3.8989 7.7892 7.5537 Å, 112.66 90.00 90.00°
Last column: nearest neighbours and their distance in Å.
Atoms (fractional coordinates):
Ce 0.7500 0.8845 0.6509  2 Co 2.67
Ce 0.7500 0.7180 0.0126  3 Co 2.69-2.89
Ce 0.2500 0.1155 0.3491  2 Co 2.67
Ce 0.2500 0.2820 0.9874  3 Co 2.69-2.89
Zn 0.2500 0.5567 0.6438  1 Co 2.53, 2 Zn 2.80, 2 Au 2.80
Zn 0.7500 0.4433 0.3562  1 Co 2.53, 2 Zn 2.80, 2 Au 2.80
Co 0.2500 0.8859 0.8929  1 Zn 2.53, 4 Ce 2.67-2.69, 2 Co 2.71
Co 0.7500 0.1141 0.1071  1 Zn 2.53, 4 Ce 2.67-2.69, 2 Co 2.71
Au 0.2500 0.6857 0.3188  3 Zn 2.80-2.99, 4 Ce 3.08-3.11
Au 0.7500 0.3143 0.6812  3 Zn 2.80-2.99, 4 Ce 3.08-3.11